This record from Alexandria via LeMat-Bulk describes crystalline BaLaCu2 at its relaxed geometry. The functional is PBE.

The structure in CIF format:
```
data_BaLaCu2
_cell_length_a 3.8451
_cell_length_b 3.8167
_cell_length_c 7.5780
_cell_angle_alpha 90.00
_cell_angle_beta 90.08
_cell_angle_gamma 90.00
_space_group_name_H-M_alt 'P 1 2/m 1'
_space_group_IT_number 10
loop_
_space_group_symop_operation_xyz
'x,y,z'
'-x,-y,-z'
'-x,y,-z'
'x,-y,z'
loop_
_atom_site_label
_atom_site_fract_x
_atom_site_fract_y
_atom_site_fract_z
Ba1 0.0000 0.0000 0.0000
La1 0.0000 0.0000 0.5000
Cu1 0.4993 0.5000 0.3127
```

DOS(E_F), states/eV/f.u.: 3.97
E above lowest polymorph, meV per atom: 0.0
Formation energy from the elements, eV/atom: -0.053



This record from Alexandria via LeMat-Bulk describes crystalline BaLi2LaCu at its relaxed geometry. The functional is PBE.

The structure in CIF format:
```
data_BaLi2LaCu
_cell_length_a 5.2822
_cell_length_b 5.2822
_cell_length_c 5.9092
_cell_angle_alpha 90.00
_cell_angle_beta 90.00
_cell_angle_gamma 90.00
_space_group_name_H-M_alt 'P 4/m m m'
_space_group_IT_number 123
_space_group_name_Hall '-P 4 2'
loop_
_atom_site_label
_atom_site_fract_x
_atom_site_fract_y
_atom_site_fract_z
Ba1 0.0000 0.0000 0.0000
Li1 0.0000 0.5000 0.0000
La1 0.0000 0.0000 0.5000
Cu1 0.5000 0.5000 0.5000
```

DOS(E_F), states/eV/f.u.: 6.33
E above lowest polymorph, meV per atom: 1068.3
Formation energy from the elements, eV/atom: 1.198